<A>
This record from Alexandria describes crystalline B5C7 at its relaxed geometry. The functional is PBE.

Summary:
As for the size of the total moment: 0.00 μB per formula unit. The space group is Pm (6).

Lattice parameters (Å, degrees): 2.546 4.776 6.492 95.90 90.00 90.00
Atoms (fractional coordinates):
B1 0.000 0.002 0.976
C1 0.000 0.352 0.312
C2 0.500 0.499 0.001
C3 0.500 0.841 0.593
B2 0.000 0.694 0.688
C4 0.500 0.187 0.903
C5 0.500 0.152 0.672
B3 0.000 0.020 0.268
B4 0.000 0.301 0.562
C6 0.000 0.652 0.933
B5 0.500 0.805 0.349
C7 0.500 0.494 0.243

<B>
This record from Alexandria describes crystalline B5C7 at its relaxed geometry. The functional is PBE.

Summary:
As for the size of the total moment: 0.00 μB per formula unit. The space group is Pm (6).

Lattice parameters (Å, degrees): 2.534 4.783 6.564 95.12 90.00 90.00
Atoms (fractional coordinates):
C1 0.500 0.505 0.002
B1 0.500 0.198 0.897
C2 0.500 0.820 0.348
B2 0.000 0.680 0.668
B3 0.000 0.970 0.968
C3 0.000 0.653 0.949
B4 0.000 0.986 0.270
C4 0.000 0.331 0.579
B5 0.500 0.496 0.252
C5 0.000 0.317 0.342
C6 0.500 0.181 0.652
C7 0.500 0.862 0.573

Least stable structure: <B>

<A>
This record from Alexandria describes crystalline As2P at its relaxed geometry. The functional is PBE.

Summary:
As for the size of the total moment: 0.00 μB per formula unit. The space group is P6_3/mmc (194).

Lattice parameters (Å, degrees): 3.640 3.640 9.929 90.00 90.00 120.00
Atoms (fractional coordinates):
P1 0.000 0.000 0.250
As1 0.333 0.667 0.583
P2 0.000 0.000 0.750
As2 0.667 0.333 0.083
As3 0.333 0.667 0.917
As4 0.667 0.333 0.417

<B>
This record from Alexandria describes crystalline As2P at its relaxed geometry. The functional is PBE.

Summary:
As for the size of the total moment: 0.00 μB per formula unit. The space group is P6_3/mmc (194).

Lattice parameters (Å, degrees): 5.809 5.809 9.628 90.00 90.00 120.00
Atoms (fractional coordinates):
As1 0.327 0.164 0.250
As2 0.673 0.836 0.750
As3 0.000 0.000 0.000
As4 0.836 0.164 0.250
P1 0.667 0.333 0.433
As5 0.164 0.327 0.750
P2 0.333 0.667 0.933
As6 0.164 0.836 0.750
As7 0.000 0.000 0.500
As8 0.836 0.673 0.250
P3 0.333 0.667 0.567
P4 0.667 0.333 0.067

Least stable structure: <B>

<A>
This record from Alexandria describes crystalline ScOs2Br at its relaxed geometry. The functional is PBE.

Summary:
As for the size of the total moment: 0.00 μB per formula unit. The space group is Pmm2 (25).

Lattice parameters (Å, degrees): 3.011 3.699 7.640 90.00 90.00 90.00
Atoms (fractional coordinates):
Os1 0.000 0.000 0.118
Br1 0.500 0.500 0.682
Os2 0.500 0.500 0.232
Sc1 0.000 0.000 0.467

<B>
This record from Alexandria describes crystalline ScOs2Br at its relaxed geometry. The functional is PBE.

Summary:
As for the size of the total moment: 0.00 μB per formula unit. The space group is P3m1 (156).

Lattice parameters (Å, degrees): 3.986 3.986 6.661 89.99 89.99 60.00
Atoms (fractional coordinates):
Sc1 0.542 0.542 0.444
Os1 0.208 0.208 0.216
Br1 0.875 0.875 0.723
Os2 0.875 0.875 0.117

Least stable structure: <A>

<A>
This record from Alexandria describes crystalline BC2 at its relaxed geometry. The functional is PBE.

Summary:
As for the size of the total moment: 0.00 μB per formula unit. The space group is P1 (1).

Lattice parameters (Å, degrees): 4.575 4.515 5.195 104.97 105.88 48.55
Atoms (fractional coordinates):
C1 0.259 0.720 0.247
C2 0.573 0.087 0.919
C3 0.926 0.414 0.078
B1 0.946 0.415 0.625
C4 0.654 0.689 0.844
C5 0.351 0.336 0.670
B2 0.639 0.677 0.303
B3 0.988 0.990 0.478
C6 0.328 0.331 0.164
B4 0.994 0.009 0.997
C7 0.570 0.092 0.420
C8 0.274 0.739 0.753

<B>
This record from Alexandria describes crystalline BC2 at its relaxed geometry. The functional is PBE.

Summary:
As for the size of the total moment: 0.00 μB per formula unit. The space group is Cm (8).

Lattice parameters (Å, degrees): 6.066 6.066 5.298 103.58 103.58 24.03
Atoms (fractional coordinates):
B1 0.925 0.925 0.208
C1 0.924 0.924 0.712
C2 0.583 0.583 0.029
C3 0.579 0.579 0.555
C4 0.663 0.663 0.833
C5 0.007 0.007 0.997
C6 0.332 0.332 0.147
C7 0.000 0.000 0.512
B2 0.653 0.653 0.343
B3 0.251 0.251 0.329
B4 0.341 0.341 0.713
C8 0.241 0.241 0.871

Least stable structure: <A>

<A>
This record from Alexandria describes crystalline Mn2NiCl at its relaxed geometry. The functional is PBE.

Summary:
As for the size of the total moment: 8.76 μB per formula unit. The space group is Pmmm (47).

Lattice parameters (Å, degrees): 2.974 3.082 6.965 90.03 90.00 90.00
Atoms (fractional coordinates):
Mn1 0.000 0.750 0.454
Cl1 0.500 0.750 0.750
Mn2 0.000 0.750 0.046
Ni1 0.500 0.250 0.250

<B>
This record from Alexandria describes crystalline Mn2NiCl at its relaxed geometry. The functional is PBE.

Summary:
As for the size of the total moment: 8.85 μB per formula unit. The space group is I-42d (122).

Lattice parameters (Å, degrees): 6.477 6.477 5.664 55.13 55.13 90.00
Atoms (fractional coordinates):
Mn1 0.875 0.885 0.750
Cl1 0.250 0.750 0.500
Ni1 0.750 0.250 0.500
Cl2 0.500 0.500 0.000
Ni2 0.000 0.000 0.000
Mn2 0.635 0.125 0.250
Mn3 0.375 0.365 0.750
Mn4 0.115 0.625 0.250

Least stable structure: <B>

<A>
This record from Alexandria describes crystalline B2C at its relaxed geometry. The functional is PBE.

Summary:
As for the size of the total moment: 0.00 μB per formula unit. The space group is P3m1 (156).

Lattice parameters (Å, degrees): 2.651 2.651 15.245 90.00 90.00 120.00
Atoms (fractional coordinates):
B1 0.667 0.333 0.837
C1 0.333 0.667 0.143
B2 0.333 0.667 0.660
C2 0.333 0.667 0.556
B3 0.667 0.333 0.300
B4 0.667 0.333 0.185
C3 0.000 0.000 0.008
B5 0.000 0.000 0.905
C4 0.333 0.667 0.044
B6 0.000 0.000 0.548
B7 0.000 0.000 0.335
B8 0.667 0.333 0.728

<B>
This record from Alexandria describes crystalline B2C at its relaxed geometry. The functional is PBE.

Summary:
As for the size of the total moment: 0.00 μB per formula unit. The space group is P-3m1 (164).

Lattice parameters (Å, degrees): 2.513 2.513 15.155 90.00 90.00 120.00
Atoms (fractional coordinates):
C1 0.000 0.000 0.949
C2 0.333 0.667 0.086
C3 0.667 0.333 0.914
B1 0.000 0.000 0.555
B2 0.333 0.667 0.738
B3 0.667 0.333 0.810
B4 0.333 0.667 0.628
B5 0.333 0.667 0.190
B6 0.667 0.333 0.262
B7 0.000 0.000 0.445
C4 0.000 0.000 0.051
B8 0.667 0.333 0.372

Least stable structure: <A>